This record from Alexandria via LeMat-Bulk describes crystalline Ce2MnCoS5 at its relaxed geometry. The functional is GGA-PBE.

Output
Raw formation energy   -1.319 eV per atom
Space group   No. 36
Magnetization   0.443 μB/atom
ρ   5.39 g/cm³
Crystal system   orthorhombic

Lattice parameters (Å, degrees): 3.802 8.109 11.396 90.00 90.00 103.56
Sites, in units of the cell vectors:
S 0.690 0.380 0.174
S 0.337 0.673 0.017
S 0.498 0.995 0.259
S 0.695 0.390 0.861
S 0.310 0.620 0.674
S 0.977 0.955 0.516
S 0.502 0.005 0.759
S 0.305 0.610 0.361
S 0.023 0.045 0.016
S 0.663 0.327 0.517
Co 0.565 0.130 0.933
Co 0.435 0.870 0.433
Ce 0.873 0.747 0.198
Ce 0.116 0.233 0.340
Ce 0.127 0.253 0.698
Ce 0.884 0.767 0.840
Mn 0.823 0.647 0.526
Mn 0.177 0.353 0.026

This record from Alexandria via LeMat-Bulk describes crystalline CeScMnCo at its relaxed geometry. The functional is GGA-PBE.

Output
Space group   No. 216
Magnetization   0.399 μB/atom
ρ   7.08 g/cm³
Crystal system   cubic
E_form   -0.04 eV per formula unit

Lattice parameters (Å, degrees): 4.628 4.628 4.628 60.00 60.00 60.00
Sites, in units of the cell vectors:
Sc 0.000 0.000 0.000
Co 0.250 0.250 0.250
Mn 0.750 0.750 0.750
Ce 0.500 0.500 0.500

This record from Alexandria via LeMat-Bulk describes crystalline CeMnCoSi2 at its relaxed geometry. The functional is GGA-PBE.

Output
Raw formation energy   -0.652 eV per atom
Space group   No. 119
Magnetization   0.165 μB/atom
ρ   6.67 g/cm³
Crystal system   tetragonal

Lattice parameters (Å, degrees): 4.016 4.016 5.568 111.14 111.14 90.00
Sites, in units of the cell vectors:
Si 0.633 0.633 0.266
Si 0.367 0.367 0.734
Mn 0.250 0.750 0.500
Ce 0.000 0.000 0.000
Co 0.750 0.250 0.500

V across the listed records, respectively: 342 70 77 Å³ per cell.